(1)
A geometry-optimized MgTaCr2 structure, computed with PBE.

As for the crystal system: trigonal. The calculation puts the total moment at 1.14 μB/f.u. The calculation puts the electronic total energy at -7.547 eV/atom. The value obtained for the energy of formation is 2.5 eV/f.u.

The structure belongs to space group R-3m (No. 166, hexagonal axes); the cell edges are 2.7520, 2.7520 and 28.3981 Å and the angles 90.00°, 90.00° and 120.00°. The inequivalent atoms are Mg at (0.0000, 0.0000, 0.0000), Ta at (0.0000, 0.0000, 0.5000) and Cr at (0.0000, 0.0000, 0.2499).

(2)
A geometry-optimized MgTaCr2 structure, computed with PBE.

As for the crystal system: tetragonal. The calculation puts the total moment at 0.62 μB/f.u. The calculation puts the electronic total energy at -7.918 eV/atom. The value obtained for the energy of formation is 1.0 eV/f.u.

The structure belongs to space group P4mm (No. 99); the cell edges are 2.959, 2.959 and 7.174 Å and the angles 90.00°, 90.00° and 90.00°. The inequivalent atoms are Mg at (0.000, 0.000, 0.000), Ta at (0.500, 0.500, 0.311), Cr at (0.000, 0.000, 0.566) and Cr at (0.500, 0.500, 0.729).

(3)
A geometry-optimized Mg4TaCr structure, computed with PBE.

As for the crystal system: cubic. The calculation puts the total moment at 1.02 μB/f.u. The calculation puts the electronic total energy at -4.048 eV/atom. The value obtained for the energy of formation is 3.6 eV/f.u.

The structure belongs to space group F-43m (No. 216); the cell edges are 7.765, 7.765 and 7.765 Å and the angles 90.00°, 90.00° and 90.00°. The inequivalent atoms are Mg at (0.125, 0.125, 0.125), Ta at (0.250, 0.250, 0.750) and Cr at (0.000, 0.000, 0.500).

(4)
A geometry-optimized Mg3TaCr structure, computed with PBE.

As for the crystal system: cubic. The calculation puts the total moment at 3.01 μB/f.u. Its energy relative to the lowest polymorph listed for this composition is 0.478 eV/atom. The calculation puts the electronic total energy at -3.185 eV/atom. The value obtained for the energy of formation is 10.3 eV/f.u.

The structure belongs to space group Pm-3m (No. 221); the cell edges are 5.272, 5.272 and 5.272 Å and the angles 90.00°, 90.00° and 90.00°. The inequivalent atoms are Mg at (0.000, 0.000, 0.500), Ta at (0.000, 0.000, 0.000) and Cr at (0.500, 0.500, 0.500).

What did the third record say?
A geometry-optimized Mg4TaCr structure, computed with PBE.

As for the crystal system: cubic. The calculation puts the total moment at 1.02 μB/f.u. The calculation puts the electronic total energy at -4.048 eV/atom. The value obtained for the energy of formation is 3.6 eV/f.u.

The structure belongs to space group F-43m (No. 216); the cell edges are 7.765, 7.765 and 7.765 Å and the angles 90.00°, 90.00° and 90.00°. The inequivalent atoms are Mg at (0.125, 0.125, 0.125), Ta at (0.250, 0.250, 0.750) and Cr at (0.000, 0.000, 0.500).

Question: What is the electronic total energy in the fourth record?
Answer: -3.185 eV/atom